1.
A plane-wave DFT calculation with GGA-PBE was carried out for ZrScW after structural relaxation.

Values from the calculation:
For the energy of formation, the calculation gives 0.21 eV per atom. The calculation puts the total energy at -489.47 eV for the cell shown. The energy above the most stable polymorph in this dataset is 0.010 eV/atom.

Structure (CIF):
```
data_ZrScW
_chemical_formula_sum 'Zr18 Sc18 W18'
_space_group_name_H-M_alt 'R -3 m'
_space_group_IT_number 166
_space_group_name_Hall '-R 3 2"'
_cell_length_a 5.5686
_cell_length_b 5.5686
_cell_length_c 41.5955
_cell_angle_alpha 90.00
_cell_angle_beta 90.00
_cell_angle_gamma 120.00
loop_
_atom_site_label
_atom_site_type_symbol
_atom_site_fract_x
_atom_site_fract_y
_atom_site_fract_z
Zr1 Zr 0.0000 0.0000 0.0367
Zr2 Zr 0.0000 0.0000 0.1785
Zr3 Zr 0.0000 0.0000 0.2718
Sc1 Sc 0.0016 0.5008 0.7751
W1 W 0.0000 0.0000 0.3849
W2 W 0.0000 0.0000 0.5000
W3 W 0.0000 0.5000 0.0000
```

=====

2.
A plane-wave DFT calculation with GGA-PBE was carried out for CeAlPdPt after structural relaxation.

Values from the calculation:
For the energy of formation, the calculation gives -0.96 eV per atom. The calculation puts the total energy at -74.25 eV for the cell shown. The energy above the most stable polymorph in this dataset is 0.000 eV/atom.

Structure (CIF):
```
data_CeAlPdPt
_chemical_formula_sum 'Ce3 Al3 Pd3 Pt3'
_space_group_name_H-M_alt 'R 3 m'
_space_group_IT_number 160
_space_group_name_Hall 'R 3 -2"'
_cell_length_a 4.3774
_cell_length_b 4.3774
_cell_length_c 14.3511
_cell_angle_alpha 90.00
_cell_angle_beta 90.00
_cell_angle_gamma 120.00
loop_
_atom_site_label
_atom_site_type_symbol
_atom_site_fract_x
_atom_site_fract_y
_atom_site_fract_z
Ce1 Ce 0.0000 0.0000 0.0000
Al1 Al 0.0000 0.0000 0.4939
Pd1 Pd 0.0000 0.0000 0.2151
Pt1 Pt 0.0000 0.0000 0.7850
```

=====

3.
A plane-wave DFT calculation with GGA-PBE was carried out for PrY3Ho7 after structural relaxation.

Values from the calculation:
For the energy of formation, the calculation gives 0.15 eV per atom. The calculation puts the total energy at -54.52 eV for the cell shown. The energy above the most stable polymorph in this dataset is 0.000 eV/atom.

Structure (CIF):
```
data_PrY3Ho7
_chemical_formula_sum 'Pr1 Y3 Ho7'
_space_group_name_H-M_alt 'P 1 2/m 1'
_space_group_IT_number 10
_cell_length_a 6.978
_cell_length_b 5.546
_cell_length_c 9.897
_cell_angle_alpha 90.00
_cell_angle_beta 110.06
_cell_angle_gamma 90.00
loop_
_space_group_symop_operation_xyz
'x,y,z'
'-x,-y,-z'
'-x,y,-z'
'x,-y,z'
loop_
_atom_site_label
_atom_site_type_symbol
_atom_site_fract_x
_atom_site_fract_y
_atom_site_fract_z
Pr1 Pr 0.000 0.000 0.000
Y1 Y 0.277 0.500 0.497
Y2 Y 0.500 0.000 0.000
Ho1 Ho 0.000 0.000 0.500
Ho2 Ho 0.148 0.500 0.791
Ho3 Ho 0.325 0.500 0.143
Ho4 Ho 0.422 0.000 0.332
```

=====

4.
A plane-wave DFT calculation with GGA-PBE was carried out for LiDy2In after structural relaxation.

Values from the calculation:
For the energy of formation, the calculation gives 0.21 eV per atom. The calculation puts the total energy at -39.05 eV for the cell shown.

Structure (CIF):
```
data_LiDy2In
_chemical_formula_sum 'Li3 Dy6 In3'
_space_group_name_H-M_alt 'R -3 m'
_space_group_IT_number 166
_space_group_name_Hall '-R 3 2"'
_cell_length_a 3.3801
_cell_length_b 3.3801
_cell_length_c 35.1254
_cell_angle_alpha 90.00
_cell_angle_beta 90.00
_cell_angle_gamma 120.00
loop_
_atom_site_label
_atom_site_type_symbol
_atom_site_fract_x
_atom_site_fract_y
_atom_site_fract_z
Li1 Li 0.0000 0.0000 0.0000
Dy1 Dy 0.0000 0.0000 0.4093
In1 In 0.0000 0.0000 0.5000
```